16
Lattice="4.542 -9.088 0.000 4.542 9.088 0.000 -4.538 0.000 6.422" Properties=species:S:1:pos:R:3 comment="CeYBi2 (GGA-PBE, relaxed)" de_polymorph_mev_per_atom=4 dos_ef_per_ev_atom=1.82 volume_a3_per_atom=33.14 sg=C2/c pbc="T T T"
Ce 1.139 7.927 4.817
Ce 1.139 3.432 4.817
Ce 3.408 -3.432 1.606
Ce 3.408 -7.927 1.606
Y 3.408 5.703 1.606
Y 3.408 1.111 1.606
Y 1.139 -1.111 4.817
Y 1.139 -5.703 4.817
Bi 1.194 3.407 1.581
Bi -1.133 1.136 4.841
Bi 1.136 -1.136 1.629
Bi -1.075 -3.407 4.792
Bi 5.622 3.407 1.630
Bi 3.411 1.136 4.793
Bi 5.679 -1.136 1.582
Bi 3.353 -3.407 4.841

***

16
Lattice="7.813 0.000 0.000 0.000 9.031 0.000 -2.608 0.000 7.375" Properties=species:S:1:pos:R:3 comment="CeY3Bi4 (GGA-PBE, relaxed)" dos_ef_per_ev_atom=0.88 volume_a3_per_atom=32.52 sg=P2/c pbc="T T T"
Ce -0.652 1.140 1.844
Ce -1.956 7.892 5.531
Y -1.956 3.394 5.531
Y -0.652 5.637 1.844
Y 1.951 1.143 5.531
Y 3.255 3.395 1.844
Y 1.951 5.636 5.531
Y 3.255 7.888 1.844
Bi 0.660 3.407 3.700
Bi 1.964 5.625 0.012
Bi 1.982 1.145 0.001
Bi 0.679 7.887 3.688
Bi 4.527 1.145 3.687
Bi 3.223 7.887 7.374
Bi 3.242 3.407 7.362
Bi 4.545 5.625 3.675

***

24
Lattice="0.000 6.453 13.696 4.559 0.000 13.696 4.559 6.453 0.000" Properties=species:S:1:pos:R:3 comment="Ce2YBi3 (GGA-PBE, relaxed)" dos_ef_per_ev_atom=2.39 volume_a3_per_atom=33.58 sg=Fddd pbc="T T T"
Ce 1.140 1.613 1.161
Ce 3.420 4.840 3.404
Ce 1.140 1.613 5.687
Ce 5.699 8.066 10.252
Ce 3.420 4.840 17.140
Ce 7.979 11.293 21.705
Ce 5.699 8.066 23.988
Ce 7.979 11.293 26.231
Y 3.420 4.840 7.983
Y 3.420 4.840 12.560
Y 5.699 8.066 14.831
Y 5.699 8.066 19.408
Bi 3.442 1.639 7.968
Bi 5.649 4.840 10.272
Bi 3.397 1.639 12.576
Bi 5.677 4.865 14.816
Bi 7.929 8.066 17.120
Bi 5.722 4.865 19.423
Bi 3.397 8.041 7.968
Bi 1.190 4.840 10.272
Bi 3.442 8.041 12.576
Bi 5.722 11.268 14.816
Bi 3.469 8.066 17.120
Bi 5.677 11.268 19.423

***

12
Lattice="3.455 0.000 0.000 -1.727 2.992 0.000 0.000 0.000 37.252" Properties=species:S:1:pos:R:3 comment="Ce2YBi (GGA-PBE, relaxed)" de_polymorph_mev_per_atom=553 dos_ef_per_ev_atom=2.63 volume_a3_per_atom=32.08 sg=R-3m pbc="T T T"
Ce 0.000 0.000 3.261
Ce 0.000 0.000 33.991
Ce 0.000 1.995 21.574
Ce 0.000 1.995 28.095
Ce 1.727 0.997 9.156
Ce 1.727 0.997 15.678
Y 0.000 0.000 18.626
Y 0.000 1.995 6.209
Y 1.727 0.997 31.043
Bi 0.000 0.000 0.000
Bi 0.000 1.995 24.834
Bi 1.727 0.997 12.417

***

12
Lattice="3.611 0.000 0.000 -1.806 3.128 0.000 0.000 0.000 32.614" Properties=species:S:1:pos:R:3 comment="CeY2Bi (GGA-PBE, relaxed)" de_polymorph_mev_per_atom=161 dos_ef_per_ev_atom=1.67 volume_a3_per_atom=30.70 sg=R-3m pbc="T T T"
Ce 0.000 0.000 0.000
Ce 0.000 2.085 21.743
Ce 1.806 1.043 10.871
Y 0.000 0.000 8.046
Y 0.000 0.000 24.568
Y 0.000 2.085 13.697
Y 0.000 2.085 29.789
Y 1.806 1.043 2.825
Y 1.806 1.043 18.918
Bi 0.000 0.000 16.307
Bi 0.000 2.085 5.436
Bi 1.806 1.043 27.179

***

10
Lattice="5.332 -6.187 0.000 5.332 6.187 0.000 -3.364 0.000 5.149" Properties=species:S:1:pos:R:3 comment="CeY2Bi2 (GGA-PBE, relaxed)" dos_ef_per_ev_atom=2.17 volume_a3_per_atom=33.97 sg=C2/c pbc="T T T"
Ce 2.809 4.998 3.862
Ce 4.491 -4.998 1.287
Y 3.293 1.129 0.142
Y 1.611 -1.129 2.716
Y 5.688 1.129 2.433
Y 4.006 -1.129 5.007
Bi 4.491 3.924 1.287
Bi 2.809 1.616 3.862
Bi 4.491 -1.616 1.287
Bi 2.809 -3.924 3.862

***

no.,magnetization (μB per formula unit),energy (eV/atom),formation enthalpy at 0 K (eV/atom)
1,0.85,-5.88,-0.84
2,0.80,-5.98,-0.87
3,1.77,-5.82,-0.82
4,1.97,-5.44,0.11
5,0.76,-5.86,-0.18
6,1.42,-5.75,-0.42